ReTe2RhI, relaxed, DFT PBE; E above lowest polymorph = 0 meV/atom; raw formation energy = 6.11 eV per formula unit
1.0
5.093 0.000 0.000
0.000 5.093 0.000
0.000 0.000 5.755
Re Te Rh I
1 2 1 1
Direct
0.000 0.000 0.000
0.000 0.500 0.000
0.500 0.000 0.000
0.500 0.500 0.500
0.000 0.000 0.500

***

ReTeRhI2, relaxed, DFT PBE; E above lowest polymorph = 35 meV/atom; raw formation energy = 6.66 eV per formula unit
1.0
5.541 0.000 0.000
0.000 5.541 0.000
0.000 0.000 5.040
Re Te Rh I
1 1 1 2
Direct
0.000 0.000 0.000
0.000 0.000 0.500
0.500 0.500 0.500
0.000 0.500 0.000
0.500 0.000 0.000

***

ReTe2RhI, relaxed, DFT PBE; E above lowest polymorph = 85 meV/atom; raw formation energy = 6.54 eV per formula unit
1.0
5.236 0.000 0.000
0.000 5.236 0.000
0.000 0.000 5.286
Re Te Rh I
1 2 1 1
Direct
0.000 0.000 0.000
0.000 0.500 0.500
0.500 0.000 0.500
0.500 0.500 0.500
0.500 0.500 0.000

***

ReTeRhI2, relaxed, DFT PBE; E above lowest polymorph = 0 meV/atom; raw formation energy = 6.48 eV per formula unit
1.0
5.344 0.000 0.000
0.000 5.344 0.000
0.000 0.000 5.315
Re Te Rh I
1 1 1 2
Direct
0.000 0.000 0.000
0.500 0.500 0.000
0.500 0.500 0.500
0.000 0.500 0.500
0.500 0.000 0.500